Th2MnAl2Ru5 | PBE | relaxed

Values from the calculation:
raw total energy: -161.628 eV per cell
ΔE_f: -0.294 eV per atom

Cell: 3.386 10.146 10.146 Å, 90.00 90.00 90.00°
Site moments in Bohr magnetons follow the coordinates.
Atoms (fractional coordinates):
Al  0.000  0.124  0.624  0.01
Al  0.000  0.876  0.376  0.01
Al  0.000  0.376  0.124  0.01
Al  0.000  0.624  0.876  0.01
Ru  0.500  0.071  0.797  -0.07
Ru  0.500  0.571  0.703  -0.07
Ru  0.500  0.500  0.000  -0.10
Ru  0.500  0.000  0.500  -0.10
Ru  0.500  0.429  0.297  -0.07
Ru  0.500  0.797  0.929  -0.07
Ru  0.500  0.929  0.203  -0.07
Ru  0.500  0.297  0.571  -0.07
Ru  0.500  0.203  0.071  -0.07
Ru  0.500  0.703  0.429  -0.07
Mn  0.000  0.500  0.500  3.45
Mn  0.000  0.000  0.000  3.45
Th  0.000  0.176  0.324  -0.01
Th  0.000  0.324  0.824  -0.01
Th  0.000  0.676  0.176  -0.01
Th  0.000  0.824  0.676  -0.01